1.
PBE-GGA Ni3PdRh, optimized geometry; total magnetic moment = 3.36 μB per formula unit; DFT total energy = -0.4334 Ry/atom; ΔE to the lowest computed polymorph = 33 meV per atom; formation energy = 0.0806 eV per atom
1.0
6.133 0.488 0.720
0.822 4.932 0.473
-2.165 -0.028 4.020
Rh Pd Ni
2 2 6
Cartesian
4.638 3.670 4.705
4.580 1.206 3.820
1.243 4.740 2.071
4.745 2.142 1.355
0.468 2.295 2.512
4.783 4.582 2.264
2.863 2.978 2.925
2.336 1.432 0.904
0.971 3.876 4.498
2.108 0.518 3.373

2.
PBE-GGA NiPdRh, optimized geometry; total magnetic moment = 1.59 μB per formula unit; DFT total energy = -0.4448 Ry/atom; ΔE to the lowest computed polymorph = 0 meV per atom; formation energy = 0.0567 eV per atom
1.0
-1.864 -3.021 -6.579
-0.505 -2.367 1.230
-6.760 3.751 4.442
Pd Ni Rh
4 4 4
Cartesian
-2.692 -0.012 1.867
-1.967 -3.732 -4.994
-5.820 3.047 3.473
-5.095 -0.674 -3.388
-1.070 -2.199 -1.675
-5.204 0.749 2.300
-4.197 0.860 -0.069
-1.572 0.057 -0.536
-6.661 1.634 0.409
-3.534 -1.425 -1.197
-2.471 -1.377 -3.665
-6.103 -0.685 -0.829

3.
PBE-GGA NiPdRhS4, optimized geometry; total magnetic moment = 0.00 μB per formula unit; DFT total energy = -0.3932 Ry/atom; energy relative to the elements, uncorrected = -0.37 eV/atom
1.0
-1.777 6.764 -0.369
-5.936 1.896 -3.102
-5.317 2.434 3.776
S Ni Rh Pd
8 2 2 2
Cartesian
-6.258 3.493 -1.454
-9.622 8.351 0.058
-3.409 2.743 0.248
-3.968 6.210 0.027
-7.255 7.287 -1.661
-9.063 4.885 0.278
-5.775 3.807 1.966
-6.772 7.601 1.759
0.000 0.000 0.000
-5.627 2.165 0.337
-3.547 4.599 1.704
-2.659 1.217 1.888
-5.492 5.715 -1.697
-7.539 5.379 2.002

4.
PBE-GGA NiSbPdRh, optimized geometry; total magnetic moment = 0.00 μB per formula unit; DFT total energy = -0.4275 Ry/atom; energy relative to the elements, uncorrected = -0.20 eV/atom
1.0
4.420 0.000 0.000
2.210 3.828 0.000
2.210 1.276 3.609
Rh Pd Ni Sb
1 1 1 1
Cartesian
0.000 0.000 0.000
4.420 2.552 1.805
2.210 1.276 0.902
6.630 3.828 2.707

5.
PBE-GGA Ni7Sb2Pd2Rh, optimized geometry; total magnetic moment = 3.92 μB per formula unit; DFT total energy = -0.4052 Ry/atom; energy relative to the elements, uncorrected = 0.02 eV/atom
1.0
-1.066 -2.785 1.842
2.375 -1.991 -1.636
10.101 0.614 10.134
Ni Rh Sb Pd
7 1 2 2
Cartesian
8.338 -1.172 9.749
6.411 -3.159 5.622
0.655 -2.388 0.103
4.999 -1.003 4.717
3.072 -2.989 0.591
10.059 -0.775 8.010
1.351 -3.386 2.330
0.000 0.000 0.000
6.662 -0.487 6.480
4.749 -3.675 3.859
3.193 -1.574 2.800
8.217 -2.587 7.539

6.
PBE-GGA Sc4NiPdRh2, optimized geometry; total magnetic moment = 0.00 μB per formula unit; DFT total energy = -0.5311 Ry/atom; formation energy = -0.8502 eV per atom
1.0
4.589 0.000 0.000
2.294 3.974 0.000
2.294 1.325 7.480
Rh Sc Ni Pd
2 4 1 1
Cartesian
2.294 1.325 1.875
6.883 3.974 5.605
4.589 2.649 6.490
2.294 1.325 4.627
4.589 2.649 0.989
6.883 3.974 2.853
4.589 2.649 3.740
0.000 0.000 0.000

7.
PBE-GGA ScNiPdRh, optimized geometry; total magnetic moment = 0.84 μB per formula unit; DFT total energy = -0.4962 Ry/atom; ΔE to the lowest computed polymorph = 0 meV per atom; formation energy = -0.5874 eV per atom
1.0
-2.723 2.198 -1.358
-2.316 -3.229 -0.583
-1.479 0.407 3.625
Rh Sc Ni Pd
1 1 1 1
Cartesian
-2.101 1.302 1.134
0.000 0.000 0.000
-1.897 -1.411 1.521
-2.519 -0.515 -0.970

8.
PBE-GGA ScNiPdRh, optimized geometry; total magnetic moment = 0.00 μB per formula unit; DFT total energy = -0.4890 Ry/atom; ΔE to the lowest computed polymorph = 99 meV per atom; formation energy = -0.4889 eV per atom
1.0
-0.077 -3.092 3.124
2.733 -3.436 -0.239
3.346 -0.349 2.830
Sc Pd Ni Rh
1 1 1 1
Cartesian
4.501 -5.157 4.287
3.000 -3.438 2.858
1.500 -1.719 1.429
0.000 0.000 0.000

9.
PBE-GGA SiNiPdRh, optimized geometry; total magnetic moment = 0.00 μB per formula unit; DFT total energy = -0.4661 Ry/atom; energy relative to the elements, uncorrected = -0.41 eV/atom
1.0
4.192 0.000 0.000
2.096 3.630 0.000
2.096 1.210 3.423
Rh Si Pd Ni
1 1 1 1
Cartesian
0.000 0.000 0.000
6.288 3.630 2.567
4.192 2.420 1.711
2.096 1.210 0.856

10.
PBE-GGA NiSnPdRh, optimized geometry; total magnetic moment = 0.26 μB per formula unit; DFT total energy = -0.4327 Ry/atom; ΔE to the lowest computed polymorph = 0 meV per atom; formation energy = -0.3045 eV per atom
1.0
-2.439 3.155 1.033
0.482 -0.929 3.984
3.827 1.037 -2.352
Rh Ni Pd Sn
1 1 1 1
Cartesian
1.665 0.611 2.071
0.000 0.000 0.000
0.205 2.653 0.595
-0.979 1.113 2.509

11.
PBE-GGA NiSnPdRh, optimized geometry; total magnetic moment = 0.11 μB per formula unit; DFT total energy = -0.4315 Ry/atom; ΔE to the lowest computed polymorph = 16 meV per atom; formation energy = -0.2888 eV per atom
1.0
-3.826 -2.199 0.062
-0.015 -4.390 0.456
-1.436 -1.824 3.753
Sn Rh Ni Pd
1 1 1 1
Cartesian
-1.319 -2.103 1.068
0.000 0.000 0.000
-3.958 -6.309 3.203
-2.639 -4.206 2.135

12.
PBE-GGA TcNiPdRh, optimized geometry; total magnetic moment = 1.21 μB per formula unit; DFT total energy = -0.5103 Ry/atom; ΔE to the lowest computed polymorph = 272 meV per atom; formation energy = 0.2302 eV per atom
1.0
-0.885 3.428 2.435
0.636 -0.159 4.246
3.196 2.254 1.779
Pd Rh Tc Ni
1 1 1 1
Cartesian
0.737 1.381 2.115
1.473 2.761 4.230
2.210 4.142 6.345
0.000 0.000 0.000